# 1
YAl9Fe2: relaxed, PBE.

The structure in CIF format:
```
data_YAl9Fe2
_chemical_formula_sum 'Y4 Al36 Fe8'
_cell_length_a 10.6046
_cell_length_b 10.6046
_cell_length_c 6.7384
_cell_angle_alpha 90.00
_cell_angle_beta 90.00
_cell_angle_gamma 90.00
_symmetry_space_group_name_H-M 'I 41/a m d'
_symmetry_Int_Tables_number 141
loop_
_symmetry_equiv_pos_as_xyz
'x,y,z'
'-x,-y,-z'
'-y+1/4,x+3/4,z+1/4'
'y+1/4,-x+3/4,-z+1/4'
'-x+1/2,-y,z+1/2'
'x+1/2,y,-z+1/2'
'y+1/4,-x+1/4,z+3/4'
'-y+1/4,x+1/4,-z+3/4'
'x,-y,-z'
'-x,y,z'
'-y+1/4,-x+1/4,-z+3/4'
'y+1/4,x+1/4,z+3/4'
'-x+1/2,y,-z+1/2'
'x+1/2,-y,z+1/2'
'y+1/4,x+3/4,-z+1/4'
'-y+1/4,-x+3/4,z+1/4'
'x+1/2,y+1/2,z+1/2'
'-x+1/2,-y+1/2,-z+1/2'
'-y+3/4,x+1/4,z+3/4'
'y+3/4,-x+1/4,-z+3/4'
'-x,-y+1/2,z'
'x,y+1/2,-z'
'y+3/4,-x+3/4,z+1/4'
'-y+3/4,x+3/4,-z+1/4'
'x+1/2,-y+1/2,-z+1/2'
'-x+1/2,y+1/2,z+1/2'
'-y+3/4,-x+3/4,-z+1/4'
'y+3/4,x+3/4,z+1/4'
'-x,y+1/2,-z'
'x,-y+1/2,z'
'y+3/4,x+1/4,-z+3/4'
'-y+3/4,-x+1/4,z+3/4'
loop_
_atom_site_label
_atom_site_type_symbol
_atom_site_fract_x
_atom_site_fract_y
_atom_site_fract_z
_atom_site_occupancy
Y1 Y 0.0000 0.2500 0.3750 1
Al1 Al 0.0000 0.2500 0.8750 1
Al2 Al 0.1225 0.0523 0.6913 1
Fe1 Fe 0.0000 0.0000 0.0000 1
```

---

# 2
Y2Al9Fe3: relaxed, PBE.

The structure in CIF format:
```
data_Y2Al9Fe3
_chemical_formula_sum 'Y8 Al36 Fe12'
_cell_length_a 12.9161
_cell_length_b 7.3650
_cell_length_c 10.4157
_cell_angle_alpha 90.00
_cell_angle_beta 114.43
_cell_angle_gamma 90.00
_symmetry_space_group_name_H-M 'C 1 2/c 1'
_symmetry_Int_Tables_number 15
_symmetry_space_group_name_Hall '-C 2yc'
loop_
_atom_site_label
_atom_site_type_symbol
_atom_site_fract_x
_atom_site_fract_y
_atom_site_fract_z
_atom_site_occupancy
Y1 Y 0.1700 0.0821 0.2488 1
Al1 Al 0.0000 0.3622 0.2500 1
Al2 Al 0.0602 0.0838 0.9306 1
Al3 Al 0.0970 0.4159 0.0452 1
Al4 Al 0.1055 0.3131 0.7475 1
Al5 Al 0.2258 0.4160 0.4346 1
Fe1 Fe 0.0864 0.2415 0.5014 1
Fe2 Fe 0.2500 0.2500 0.0000 1
```

---

# 3
YAl3Fe3: relaxed, PBE.

The structure in CIF format:
```
data_YAl3Fe3
_chemical_formula_sum 'Y2 Al6 Fe6'
_cell_length_a 6.4607
_cell_length_b 6.4607
_cell_length_c 6.4607
_cell_angle_alpha 90.00
_cell_angle_beta 90.00
_cell_angle_gamma 90.00
_symmetry_space_group_name_H-M 'P m -3 n'
_symmetry_Int_Tables_number 223
_symmetry_space_group_name_Hall '-P 4n 2 3'
loop_
_atom_site_label
_atom_site_type_symbol
_atom_site_fract_x
_atom_site_fract_y
_atom_site_fract_z
_atom_site_occupancy
Y1 Y 0.0000 0.0000 0.0000 1
Al1 Al 0.0000 0.2500 0.5000 1
Fe1 Fe 0.0000 0.5000 0.2500 1
```

---

# 4
Y2AlFe: relaxed, PBE.

The structure in CIF format:
```
data_Y2AlFe
_chemical_formula_sum 'Y2 Al1 Fe1'
_cell_length_a 4.9852
_cell_length_b 4.9852
_cell_length_c 3.5645
_cell_angle_alpha 90.00
_cell_angle_beta 90.00
_cell_angle_gamma 90.00
_symmetry_space_group_name_H-M 'P 4/m m m'
_symmetry_Int_Tables_number 123
_symmetry_space_group_name_Hall '-P 4 2'
loop_
_atom_site_label
_atom_site_type_symbol
_atom_site_fract_x
_atom_site_fract_y
_atom_site_fract_z
_atom_site_occupancy
Y1 Y 0.0000 0.5000 0.0000 1
Al1 Al 0.0000 0.0000 0.5000 1
Fe1 Fe 0.5000 0.5000 0.5000 1
```

---

# 5
YAlFe2: relaxed, PBE.

The structure in CIF format:
```
data_YAlFe2
_chemical_formula_sum 'Y1 Al1 Fe2'
_cell_length_a 3.1095
_cell_length_b 3.1095
_cell_length_c 6.8871
_cell_angle_alpha 90.00
_cell_angle_beta 90.00
_cell_angle_gamma 90.00
_symmetry_space_group_name_H-M 'P 4 m m'
_symmetry_Int_Tables_number 99
_symmetry_space_group_name_Hall 'P 4 -2'
loop_
_atom_site_label
_atom_site_type_symbol
_atom_site_fract_x
_atom_site_fract_y
_atom_site_fract_z
_atom_site_occupancy
Y1 Y 0.0000 0.0000 0.0000 1
Al1 Al 0.5000 0.5000 0.3389 1
Fe1 Fe 0.0000 0.0000 0.5401 1
Fe2 Fe 0.5000 0.5000 0.7117 1
```

---

# 6
Y2Al2Fe: relaxed, PBE.

The structure in CIF format:
```
data_Y2Al2Fe
_chemical_formula_sum 'Y4 Al4 Fe2'
_cell_length_a 6.8793
_cell_length_b 6.8793
_cell_length_c 4.6174
_cell_angle_alpha 90.00
_cell_angle_beta 90.00
_cell_angle_gamma 90.00
_symmetry_space_group_name_H-M 'P 4/m b m'
_symmetry_Int_Tables_number 127
_symmetry_space_group_name_Hall '-P 4 2ab'
loop_
_atom_site_label
_atom_site_type_symbol
_atom_site_fract_x
_atom_site_fract_y
_atom_site_fract_z
_atom_site_occupancy
Y1 Y 0.1712 0.3288 0.0000 1
Al1 Al 0.1385 0.6385 0.5000 1
Fe1 Fe 0.0000 0.0000 0.5000 1
```

---

| no. | ΔH_f (0 K) (eV per atom) | size of the total moment (μB/atom) | DFT total energy (eV/atom) |
| --- | --- | --- | --- |
| 1 | -0.307 | 0.000 | -5.063 |
| 2 | -0.423 | 0.021 | -5.566 |
| 3 | 0.524 | 0.567 | -5.630 |
| 4 | -0.075 | 0.347 | -6.358 |
| 5 | -0.082 | 1.043 | -6.865 |
| 6 | -0.167 | 0.536 | -5.942 |